1.
# PmNdMnCd

An optimized crystal structure of PmNdMnCd (GGA-PBE, the Alexandria database).

Cell: 5.318 5.318 5.318 Å, 60.00 60.00 60.00°
Fractional coordinates of all 4 atoms:
Nd  0.000  0.000  0.000
Mn  0.750  0.750  0.750
Pm  0.500  0.500  0.500
Cd  0.250  0.250  0.250

## Properties
Magnetization   3.36 Bohr magnetons per cell
Space-group type   F-43m
Energy of formation from the pure elements   11 meV per atom

2.
# PrNdMnCd

An optimized crystal structure of PrNdMnCd (GGA-PBE, the Alexandria database).

Cell: 5.359 5.359 5.359 Å, 60.00 60.00 60.00°
Fractional coordinates of all 4 atoms:
Nd  0.000  0.000  0.000
Mn  0.250  0.250  0.250
Pr  0.500  0.500  0.500
Cd  0.750  0.750  0.750

## Properties
Magnetization   3.39 Bohr magnetons per cell
Space-group type   F-43m
Energy of formation from the pure elements   19 meV per atom

3.
# TbNdMnCd

An optimized crystal structure of TbNdMnCd (GGA-PBE, the Alexandria database).

Cell: 5.260 5.260 5.260 Å, 60.00 60.00 60.00°
Fractional coordinates of all 4 atoms:
Mn  0.250  0.250  0.250
Tb  0.500  0.500  0.500
Nd  0.000  0.000  0.000
Cd  0.750  0.750  0.750

## Properties
Magnetization   3.26 Bohr magnetons per cell
Space-group type   F-43m
Energy of formation from the pure elements   4 meV per atom

4.
# NdTmMnCd

An optimized crystal structure of NdTmMnCd (GGA-PBE, the Alexandria database).

Cell: 5.216 5.216 5.216 Å, 60.00 60.00 60.00°
Fractional coordinates of all 4 atoms:
Nd  0.000  0.000  0.000
Tm  0.500  0.500  0.500
Mn  0.250  0.250  0.250
Cd  0.750  0.750  0.750

## Properties
Magnetization   3.20 Bohr magnetons per cell
Space-group type   F-43m
Energy of formation from the pure elements   7 meV per atom

5.
# MnCdNi

An optimized crystal structure of MnCdNi (GGA-PBE, the Alexandria database).

Cell: 2.876 2.876 6.482 Å, 90.00 90.00 120.00°
Fractional coordinates of all 3 atoms:
Cd  0.000  0.000  0.991
Mn  0.667  0.333  0.364
Ni  0.333  0.667  0.645

## Properties
Magnetization   4.05 Bohr magnetons per cell
Space-group type   P3m1
Energy of formation from the pure elements   240 meV per atom

6.
# Mn2CdNi

An optimized crystal structure of Mn2CdNi (GGA-PBE, the Alexandria database).

Cell: 4.709 4.709 4.709 Å, 130.08 130.08 73.28°
Fractional coordinates of all 4 atoms:
Mn  0.000  0.000  0.000
Mn  0.500  0.500  0.000
Cd  0.750  0.250  0.500
Ni  0.250  0.750  0.500

## Properties
Magnetization   7.82 Bohr magnetons per cell
Space-group type   I4/mmm
Energy of formation from the pure elements   248 meV per atom

7.
# Mn2CdNi

An optimized crystal structure of Mn2CdNi (GGA-PBE, the Alexandria database).

Cell: 7.061 7.061 5.648 Å, 51.31 51.31 90.00°
Fractional coordinates of all 8 atoms:
Cd  0.750  0.250  0.500
Ni  0.500  0.500  0.000
Mn  0.375  0.419  0.750
Mn  0.581  0.125  0.250
Cd  0.000  0.000  0.000
Mn  0.875  0.831  0.750
Ni  0.250  0.750  0.500
Mn  0.169  0.625  0.250

## Properties
Magnetization   16.09 Bohr magnetons per cell
Space-group type   I-42d
Energy of formation from the pure elements   507 meV per atom

8.
# Mn2CdNi

An optimized crystal structure of Mn2CdNi (GGA-PBE, the Alexandria database).

Cell: 2.992 2.992 6.479 Å, 90.00 90.00 90.00°
Fractional coordinates of all 4 atoms:
Mn  0.500  0.500  0.256
Mn  0.000  0.000  0.049
Cd  0.500  0.500  0.736
Ni  0.000  0.000  0.460

## Properties
Magnetization   0.34 Bohr magnetons per cell
Space-group type   P4mm
Energy of formation from the pure elements   101 meV per atom

9.
# Mn2CdNi

An optimized crystal structure of Mn2CdNi (GGA-PBE, the Alexandria database).

Cell: 4.383 4.383 4.383 Å, 60.00 60.00 60.00°
Fractional coordinates of all 4 atoms:
Mn  0.250  0.250  0.250
Mn  0.000  0.000  0.000
Ni  0.750  0.750  0.750
Cd  0.500  0.500  0.500

## Properties
Magnetization   7.81 Bohr magnetons per cell
Space-group type   F-43m
Energy of formation from the pure elements   260 meV per atom

10.
# Mn2CdNi

An optimized crystal structure of Mn2CdNi (GGA-PBE, the Alexandria database).

Cell: 2.626 3.910 5.264 Å, 90.00 90.00 90.00°
Fractional coordinates of all 4 atoms:
Mn  0.000  0.000  0.437
Cd  0.500  0.500  0.750
Mn  0.000  0.000  0.063
Ni  0.500  0.500  0.250

## Properties
Magnetization   0.00 Bohr magnetons per cell
Space-group type   Pmmm
Energy of formation from the pure elements   404 meV per atom

11.
# MnCdNi

An optimized crystal structure of MnCdNi (GGA-PBE, the Alexandria database).

Cell: 4.224 4.224 4.224 Å, 60.00 60.00 60.00°
Fractional coordinates of all 3 atoms:
Cd  0.000  0.000  0.000
Ni  0.750  0.750  0.750
Mn  0.500  0.500  0.500

## Properties
Magnetization   4.33 Bohr magnetons per cell
Space-group type   F-43m
Energy of formation from the pure elements   347 meV per atom

12.
# Mn2CdNi

An optimized crystal structure of Mn2CdNi (GGA-PBE, the Alexandria database).

Cell: 3.802 3.965 3.965 Å, 90.00 90.00 90.00°
Fractional coordinates of all 4 atoms:
Mn  0.000  0.000  0.000
Mn  0.000  0.500  0.500
Cd  0.500  0.000  0.500
Ni  0.500  0.500  0.000

## Properties
Magnetization   7.78 Bohr magnetons per cell
Space-group type   P4/mmm
Energy of formation from the pure elements   247 meV per atom

13.
# MnCdNi2

An optimized crystal structure of MnCdNi2 (GGA-PBE, the Alexandria database).

Cell: 8.571 8.571 8.571 Å, 18.71 18.71 18.71°
Fractional coordinates of all 4 atoms:
Cd  0.250  0.250  0.250
Mn  0.750  0.750  0.750
Ni  0.492  0.492  0.492
Ni  0.008  0.008  0.008

## Properties
Magnetization   4.68 Bohr magnetons per cell
Space-group type   R-3m
Energy of formation from the pure elements   149 meV per atom

14.
# MnCdNi2

An optimized crystal structure of MnCdNi2 (GGA-PBE, the Alexandria database).

Cell: 4.827 4.827 4.425 Å, 73.18 73.18 34.62°
Fractional coordinates of all 4 atoms:
Ni  0.008  0.008  0.019
Ni  0.735  0.735  0.746
Cd  0.491  0.491  0.530
Mn  0.265  0.265  0.205

## Properties
Magnetization   4.47 Bohr magnetons per cell
Space-group type   Cm
Energy of formation from the pure elements   109 meV per atom

15.
# Mn2CdNi

An optimized crystal structure of Mn2CdNi (GGA-PBE, the Alexandria database).

Cell: 4.754 4.754 4.754 Å, 131.48 130.52 71.82°
Fractional coordinates of all 4 atoms:
Cd  0.251  0.751  0.500
Ni  0.502  0.502  0.000
Mn  0.747  0.247  0.500
Mn  0.999  0.999  0.000

## Properties
Magnetization   7.96 Bohr magnetons per cell
Space-group type   Imm2
Energy of formation from the pure elements   258 meV per atom

16.
# MnCdNi2

An optimized crystal structure of MnCdNi2 (GGA-PBE, the Alexandria database).

Cell: 4.767 4.767 4.767 Å, 133.93 134.01 67.13°
Fractional coordinates of all 4 atoms:
Ni  0.000  0.000  0.000
Ni  0.750  0.250  0.500
Mn  0.250  0.750  0.500
Cd  0.500  0.500  0.000

## Properties
Magnetization   4.35 Bohr magnetons per cell
Space-group type   I-4m2
Energy of formation from the pure elements   93 meV per atom

17.
# MnCdNi2

An optimized crystal structure of MnCdNi2 (GGA-PBE, the Alexandria database).

Cell: 3.047 3.047 6.055 Å, 90.00 90.00 90.00°
Fractional coordinates of all 4 atoms:
Cd  0.000  0.000  0.483
Ni  0.500  0.500  0.216
Mn  0.500  0.500  0.800
Ni  0.000  0.000  0.001

## Properties
Magnetization   4.22 Bohr magnetons per cell
Space-group type   P4mm
Energy of formation from the pure elements   119 meV per atom

18.
# MnCdNi2

An optimized crystal structure of MnCdNi2 (GGA-PBE, the Alexandria database).

Cell: 4.037 4.037 3.411 Å, 90.00 90.00 90.03°
Fractional coordinates of all 4 atoms:
Mn  0.000  0.500  0.500
Cd  0.500  0.000  0.500
Ni  0.000  0.000  0.000
Ni  0.500  0.500  0.000

## Properties
Magnetization   4.87 Bohr magnetons per cell
Space-group type   P4/mmm
Energy of formation from the pure elements   63 meV per atom

19.
# MnCdNi2

An optimized crystal structure of MnCdNi2 (GGA-PBE, the Alexandria database).

Cell: 6.760 6.760 5.466 Å, 51.81 51.81 90.00°
Fractional coordinates of all 8 atoms:
Ni  0.375  0.401  0.750
Ni  0.599  0.125  0.250
Ni  0.151  0.625  0.250
Cd  0.750  0.250  0.500
Mn  0.250  0.750  0.500
Mn  0.500  0.500  0.000
Ni  0.875  0.849  0.750
Cd  0.000  0.000  0.000

## Properties
Magnetization   9.36 Bohr magnetons per cell
Space-group type   I-42d
Energy of formation from the pure elements   414 meV per atom

20.
# MnCdNi

An optimized crystal structure of MnCdNi (GGA-PBE, the Alexandria database).

Cell: 5.210 5.210 5.210 Å, 145.30 145.30 49.89°
Fractional coordinates of all 3 atoms:
Cd  0.005  0.005  0.000
Mn  0.309  0.309  0.000
Ni  0.686  0.686  0.000

## Properties
Magnetization   4.22 Bohr magnetons per cell
Space-group type   I4mm
Energy of formation from the pure elements   80 meV per atom